No. 1
DFT (GGA-PBE) results for LaBe4Pb after structural relaxation.

abc: 5.2890 5.2890 5.2890
angles: 60.00 60.00 60.00
Positions (direct):
1 La 0.7500 0.7500 0.7500
2 Be 0.8158 0.3947 0.3947
3 Be 0.3947 0.3947 0.8158
4 Be 0.3947 0.8158 0.3947
5 Be 0.3947 0.3947 0.3947
6 Pb 0.0000 0.0000 0.0000

Summary:
Its density of states at the Fermi level is 1.22 states/eV/cell. Its formation energy is 0.44 eV per atom.

---

No. 2
DFT (GGA-PBE) results for CdAsSe2S after structural relaxation.

abc: 4.8745 4.8745 4.9305
angles: 90.00 90.00 90.00
Positions (direct):
1 As 0.0000 0.0000 0.5000
2 S 0.0000 0.0000 0.0000
3 Se 0.0000 0.5000 0.0000
4 Se 0.5000 0.0000 0.0000
5 Cd 0.5000 0.5000 0.5000

Summary:
The raw formation energy is 0.495 eV/atom. Its density of states at the Fermi level is 4.60 states/eV/cell.

---

No. 3
DFT (GGA-PBE) results for MgPRuO2 after structural relaxation.

abc: 3.4649 6.4761 3.4649
angles: 90.00 90.00 90.00
Positions (direct):
1 Ru 0.5000 0.5000 0.5000
2 Mg 0.0000 0.5000 0.0000
3 O 0.0000 0.0000 0.5000
4 O 0.5000 0.0000 0.0000
5 P 0.0000 0.0000 0.0000

Summary:
The raw formation energy is 0.256 eV/atom. Its density of states at the Fermi level is 3.06 states/eV/cell.

---

For reference, M_tot by record: 0.0 0.4 1.8 μB/f.u..